# Cd2CoPb PBE optimized geometry
# Magnetization, μB per atom: 0.3109
# Raw total energy, eV per atom: -2.683
# Formation energy from the elements, eV/atom: 0.48
# Theoretical density, g cm⁻³: 9.25
data_Cd2CoPb
_symmetry_space_group_name_H-M 'I -4 2 d'
_symmetry_Int_Tables_number 122
_symmetry_space_group_name_Hall 'I -4 2bw'
_cell_length_a 4.089
_cell_length_b 4.089
_cell_length_c 21.079
_cell_angle_alpha 90.00
_cell_angle_beta 90.00
_cell_angle_gamma 90.00
loop_
_atom_site_label
_atom_site_fract_x
_atom_site_fract_y
_atom_site_fract_z
Cd1 0.230 0.250 0.125
Co1 0.000 0.000 0.000
Pb1 0.000 0.000 0.500